Below is a geometry-optimized PmHo2TcN4 structure, with properties calculated at the PBE level.

```
data_PmHo2TcN4
_cell_length_a 3.4443
_cell_length_b 11.6540
_cell_length_c 11.5571
_cell_angle_alpha 90.00
_cell_angle_beta 90.00
_cell_angle_gamma 90.00
_space_group_name_H-M_alt 'C m c m'
_space_group_IT_number 63
_space_group_name_Hall '-C 2c 2'
loop_
_atom_site_label
_atom_site_fract_x
_atom_site_fract_y
_atom_site_fract_z
_atom_site_occupancy
Pm1 0.0000 0.1246 0.2500 1
Ho1 0.0000 0.3687 0.0398 1
Tc1 0.0000 0.1395 0.7500 1
N1 0.0000 0.0000 0.0000 1
N2 0.0000 0.2635 0.6275 1
N3 0.0000 0.4424 0.2500 1
```

**D(E_F)**: 1.56 states/eV/f.u.
**Total magnetic moment**: 0.00 μB per atom
**Raw total energy**: -8.304 eV/atom
**Crystal system**: orthorhombic
**Energy relative to the elements, uncorrected**: -106.9 kJ/mol of atoms
**Density**: 9.00 Mg/m³